SrAlAs2: relaxed, PBE.

a = 4.8503 Å, b = 4.4451 Å, c = 5.0426 Å
α = 89.88°, β = 90.00°, γ = 90.00°
Closest atoms and distances in Å follow each position.
Fractional coordinates of all 4 atoms:
1 Sr 0.0000 0.5002 0.4167  8 As 3.28-3.45
2 As 0.0000 0.0004 0.9385  2 Al 2.50
3 As 0.5000 0.0006 0.3303  2 Al 2.44-2.60
4 Al 0.5000 0.9986 0.8145  4 As 2.44-2.60

E_form (eV/atom): -0.4524
M_tot (μB/cell): 0.000
Space group: No. 6